VASP calculation (PBE-GGA) on an optimized crystal structure of Pr2NiH. Values from VASP.

Values from the calculation:
- VASP energy (eV per atom) = -4.831
- calculated density (Mg/m³) = 6.5
- total magnetic moment (μB per formula unit) = 0.00
- crystal system = trigonal

```
&SYSTEM
  ibrav = 0, nat = 4, ntyp = 3
/
ATOMIC_SPECIES
Pr 140.91 Pr.upf
Ni 58.69 Ni.upf
H 1.01 H.upf
ATOMIC_POSITIONS crystal
Pr 0.084 0.084 0.749
Pr 0.249 0.249 0.252
Ni 0.666 0.666 0.001
H 0.501 0.501 0.497
CELL_PARAMETERS angstrom
3.812 0.000 0.000
1.906 3.301 0.000
1.906 1.100 6.911
```



VASP calculation (PBE-GGA) on an optimized crystal structure of Pr2NiH. Values from VASP.

Values from the calculation:
- VASP energy (eV per atom) = -4.727
- calculated density (Mg/m³) = 7.1
- total magnetic moment (μB per formula unit) = 0.00
- crystal system = tetragonal

```
&SYSTEM
  ibrav = 0, nat = 4, ntyp = 3
/
ATOMIC_SPECIES
Pr 140.91 Pr.upf
Ni 58.69 Ni.upf
H 1.01 H.upf
ATOMIC_POSITIONS crystal
Pr 0.000 0.000 0.754
Pr 0.000 0.000 0.246
Ni 0.500 0.500 0.500
H 0.500 0.500 0.000
CELL_PARAMETERS angstrom
3.354 0.000 0.000
0.000 3.354 0.000
0.000 0.000 7.073
```



VASP calculation (PBE-GGA) on an optimized crystal structure of Pr4Ni2H. Values from VASP.

Values from the calculation:
- VASP energy (eV per atom) = -5.029
- calculated density (Mg/m³) = 6.7
- total magnetic moment (μB per formula unit) = 0.00
- crystal system = tetragonal

```
&SYSTEM
  ibrav = 0, nat = 7, ntyp = 3
/
ATOMIC_SPECIES
Pr 140.91 Pr.upf
Ni 58.69 Ni.upf
H 1.01 H.upf
ATOMIC_POSITIONS crystal
Pr 0.802 0.802 0.604
Pr 0.198 0.198 0.396
Pr 0.000 0.500 0.000
Pr 0.500 0.000 0.000
Ni 0.613 0.613 0.226
Ni 0.387 0.387 0.774
H 0.000 0.000 0.000
CELL_PARAMETERS angstrom
-0.013 4.612 1.594
-0.441 -1.589 4.593
7.269 -1.703 -2.484
```



VASP calculation (PBE-GGA) on an optimized crystal structure of PrNi2H7. Values from VASP.

Values from the calculation:
- VASP energy (eV per atom) = -4.179
- calculated density (Mg/m³) = 5.8
- total magnetic moment (μB per formula unit) = 0.00
- crystal system = orthorhombic

```
&SYSTEM
  ibrav = 0, nat = 10, ntyp = 3
/
ATOMIC_SPECIES
Pr 140.91 Pr.upf
Ni 58.69 Ni.upf
H 1.01 H.upf
ATOMIC_POSITIONS crystal
Pr 0.000 0.000 0.000
Ni 0.500 0.686 0.314
Ni 0.500 0.314 0.686
H 0.000 0.675 0.325
H 0.000 0.325 0.675
H 0.500 0.028 0.322
H 0.500 0.972 0.678
H 0.500 0.322 0.028
H 0.500 0.678 0.972
H 0.500 0.500 0.500
CELL_PARAMETERS angstrom
-1.460 -3.178 1.004
2.137 0.436 4.489
-4.555 1.774 -1.007
```



VASP calculation (PBE-GGA) on an optimized crystal structure of Pr6Ni2H. Values from VASP.

Values from the calculation:
- VASP energy (eV per atom) = -5.057
- calculated density (Mg/m³) = 6.8
- total magnetic moment (μB per formula unit) = 0.00
- crystal system = monoclinic

```
&SYSTEM
  ibrav = 0, nat = 18, ntyp = 3
/
ATOMIC_SPECIES
Pr 140.91 Pr.upf
Ni 58.69 Ni.upf
H 1.01 H.upf
ATOMIC_POSITIONS crystal
Pr 0.149 0.036 0.254
Pr 0.176 0.325 0.568
Pr 0.170 0.326 0.933
Pr 0.330 0.826 0.567
Pr 0.324 0.825 0.932
Pr 0.351 0.536 0.246
Pr 0.851 0.964 0.746
Pr 0.824 0.675 0.432
Pr 0.830 0.674 0.067
Pr 0.670 0.174 0.433
Pr 0.676 0.175 0.068
Pr 0.649 0.464 0.754
Ni 0.071 0.615 0.747
Ni 0.429 0.115 0.753
Ni 0.571 0.885 0.247
Ni 0.929 0.385 0.253
H 0.500 0.500 0.000
H 0.000 0.000 0.500
CELL_PARAMETERS angstrom
6.577 0.000 -0.468
0.000 7.095 0.000
0.608 0.000 10.112
```



VASP calculation (PBE-GGA) on an optimized crystal structure of PrNi2H8. Values from VASP.

Values from the calculation:
- VASP energy (eV per atom) = -4.015
- calculated density (Mg/m³) = 5.6
- total magnetic moment (μB per formula unit) = 0.00
- crystal system = orthorhombic

```
&SYSTEM
  ibrav = 0, nat = 11, ntyp = 3
/
ATOMIC_SPECIES
Pr 140.91 Pr.upf
Ni 58.69 Ni.upf
H 1.01 H.upf
ATOMIC_POSITIONS crystal
Pr 0.500 0.000 0.000
Ni 0.000 0.329 0.671
Ni 0.000 0.671 0.329
H 0.000 0.976 0.701
H 0.000 0.701 0.976
H 0.229 0.500 0.500
H 0.500 0.677 0.323
H 0.500 0.323 0.677
H 0.771 0.500 0.500
H 0.000 0.299 0.024
H 0.000 0.024 0.299
CELL_PARAMETERS angstrom
-1.338 -3.141 3.025
4.043 -0.050 1.735
-2.839 2.879 1.734
```



VASP calculation (PBE-GGA) on an optimized crystal structure of PrNiH2. Values from VASP.

Values from the calculation:
- VASP energy (eV per atom) = -4.683
- calculated density (Mg/m³) = 6.0
- total magnetic moment (μB per formula unit) = 0.00
- crystal system = trigonal

```
&SYSTEM
  ibrav = 0, nat = 4, ntyp = 3
/
ATOMIC_SPECIES
Pr 140.91 Pr.upf
Ni 58.69 Ni.upf
H 1.01 H.upf
ATOMIC_POSITIONS crystal
Pr 0.500 0.500 0.500
Ni 0.000 0.000 0.000
H 0.137 0.137 0.589
H 0.863 0.863 0.411
CELL_PARAMETERS angstrom
-2.255 3.365 -0.813
-4.098 -0.312 -0.424
-2.547 1.624 3.289
```



VASP calculation (PBE-GGA) on an optimized crystal structure of PrNi2H8. Values from VASP.

Values from the calculation:
- VASP energy (eV per atom) = -3.956
- calculated density (Mg/m³) = 5.1
- total magnetic moment (μB per formula unit) = 0.00
- crystal system = tetragonal

```
&SYSTEM
  ibrav = 0, nat = 11, ntyp = 3
/
ATOMIC_SPECIES
Pr 140.91 Pr.upf
Ni 58.69 Ni.upf
H 1.01 H.upf
ATOMIC_POSITIONS crystal
Pr 0.500 0.500 0.000
Ni 0.250 0.750 0.500
Ni 0.750 0.250 0.500
H 0.947 0.947 0.332
H 0.053 0.053 0.668
H 0.614 0.614 0.668
H 0.614 0.053 0.668
H 0.386 0.386 0.332
H 0.386 0.947 0.332
H 0.947 0.386 0.332
H 0.053 0.614 0.668
CELL_PARAMETERS angstrom
-2.616 -1.783 -2.681
3.067 -2.432 -1.375
-1.428 -1.387 5.525
```



VASP calculation (PBE-GGA) on an optimized crystal structure of Pr4Ni2H. Values from VASP.

Values from the calculation:
- VASP energy (eV per atom) = -5.138
- calculated density (Mg/m³) = 6.8
- total magnetic moment (μB per formula unit) = 0.00
- crystal system = monoclinic

```
&SYSTEM
  ibrav = 0, nat = 7, ntyp = 3
/
ATOMIC_SPECIES
Pr 140.91 Pr.upf
Ni 58.69 Ni.upf
H 1.01 H.upf
ATOMIC_POSITIONS crystal
Pr 0.154 0.810 0.309
Pr 0.846 0.190 0.691
Pr 0.418 0.723 0.836
Pr 0.582 0.277 0.164
Ni 0.234 0.370 0.468
Ni 0.766 0.630 0.532
H 0.000 0.000 0.000
CELL_PARAMETERS angstrom
3.837 0.000 -1.084
-0.303 5.963 -1.074
-0.024 0.029 7.251
```



VASP calculation (PBE-GGA) on an optimized crystal structure of Pr3Ni5H12. Values from VASP.

Values from the calculation:
- VASP energy (eV per atom) = -4.401
- calculated density (Mg/m³) = 6.2
- total magnetic moment (μB per formula unit) = 0.00
- crystal system = cubic

```
&SYSTEM
  ibrav = 0, nat = 80, ntyp = 3
/
ATOMIC_SPECIES
Pr 140.91 Pr.upf
Ni 58.69 Ni.upf
H 1.01 H.upf
ATOMIC_POSITIONS crystal
Pr 0.750 0.375 0.125
Pr 0.875 0.750 0.125
Pr 0.375 0.750 0.625
Pr 0.250 0.125 0.375
Pr 0.875 0.125 0.250
Pr 0.375 0.625 0.250
Pr 0.625 0.375 0.750
Pr 0.125 0.875 0.750
Pr 0.750 0.875 0.625
Pr 0.625 0.250 0.375
Pr 0.125 0.250 0.875
Pr 0.250 0.625 0.875
Ni 0.125 0.375 0.250
Ni 0.000 0.500 0.000
Ni 0.000 0.000 0.000
Ni 0.375 0.250 0.125
Ni 0.500 0.000 0.500
Ni 0.500 0.500 0.000
Ni 0.125 0.750 0.375
Ni 0.750 0.125 0.875
Ni 0.750 0.625 0.375
Ni 0.375 0.125 0.750
Ni 0.625 0.875 0.250
Ni 0.500 0.500 0.500
Ni 0.500 0.000 0.000
Ni 0.000 0.000 0.500
Ni 0.250 0.375 0.625
Ni 0.250 0.875 0.125
Ni 0.000 0.500 0.500
Ni 0.875 0.250 0.625
Ni 0.625 0.750 0.875
Ni 0.875 0.625 0.750
H 0.677 0.094 0.997
H 0.320 0.497 0.403
H 0.003 0.406 0.323
H 0.497 0.177 0.094
H 0.583 0.677 0.680
H 0.003 0.597 0.180
H 0.320 0.823 0.417
H 0.097 0.917 0.094
H 0.597 0.003 0.680
H 0.677 0.583 0.180
H 0.823 0.503 0.406
H 0.820 0.903 0.997
H 0.094 0.677 0.497
H 0.406 0.403 0.083
H 0.083 0.903 0.406
H 0.417 0.094 0.597
H 0.083 0.180 0.177
H 0.503 0.680 0.097
H 0.820 0.917 0.323
H 0.094 0.417 0.097
H 0.406 0.003 0.823
H 0.597 0.594 0.417
H 0.903 0.820 0.497
H 0.823 0.320 0.917
H 0.403 0.406 0.583
H 0.097 0.180 0.503
H 0.177 0.680 0.083
H 0.180 0.083 0.677
H 0.594 0.997 0.177
H 0.906 0.583 0.903
H 0.497 0.320 0.903
H 0.583 0.906 0.403
H 0.917 0.820 0.823
H 0.917 0.097 0.594
H 0.906 0.323 0.503
H 0.180 0.097 0.003
H 0.594 0.597 0.917
H 0.403 0.997 0.320
H 0.323 0.417 0.820
H 0.177 0.497 0.594
H 0.903 0.083 0.906
H 0.680 0.177 0.583
H 0.503 0.823 0.906
H 0.997 0.403 0.820
H 0.417 0.323 0.320
H 0.997 0.594 0.677
H 0.680 0.503 0.597
H 0.323 0.906 0.003
CELL_PARAMETERS angstrom
-6.540 4.462 6.155
1.588 -9.415 3.067
8.662 5.053 0.095
```



VASP calculation (PBE-GGA) on an optimized crystal structure of Pr2NiH. Values from VASP.

Values from the calculation:
- VASP energy (eV per atom) = -4.900
- calculated density (Mg/m³) = 6.6
- total magnetic moment (μB per formula unit) = 0.00
- crystal system = trigonal

```
&SYSTEM
  ibrav = 0, nat = 4, ntyp = 3
/
ATOMIC_SPECIES
Pr 140.91 Pr.upf
Ni 58.69 Ni.upf
H 1.01 H.upf
ATOMIC_POSITIONS crystal
Pr 0.754 0.754 0.737
Pr 0.246 0.246 0.263
Ni 0.000 0.000 0.000
H 0.500 0.500 0.500
CELL_PARAMETERS angstrom
-2.659 -0.061 2.988
1.012 -1.550 3.546
1.440 5.071 4.062
```



VASP calculation (PBE-GGA) on an optimized crystal structure of Pr2NiHPt6. Values from VASP.

Values from the calculation:
- VASP energy (eV per atom) = -6.046
- calculated density (Mg/m³) = 14.3
- total magnetic moment (μB per formula unit) = 0.35
- crystal system = tetragonal

```
&SYSTEM
  ibrav = 0, nat = 10, ntyp = 4
/
ATOMIC_SPECIES
Pr 140.91 Pr.upf
Ni 58.69 Ni.upf
H 1.01 H.upf
Pt 195.08 Pt.upf
ATOMIC_POSITIONS crystal
Pr 0.750 0.250 0.500
Pr 0.250 0.750 0.500
Ni 0.000 0.000 0.000
H 0.500 0.500 0.000
Pt 0.272 0.272 0.456
Pt 0.728 0.728 0.000
Pt 0.272 0.728 0.000
Pt 0.728 0.272 0.000
Pt 0.272 0.272 0.000
Pt 0.728 0.728 0.544
CELL_PARAMETERS angstrom
6.275 0.001 0.001
0.001 6.275 0.001
3.138 3.138 4.447
```



Question: Which of these has the highest VASP energy?
Answer: number 8



Question: The lowest VASP energy belongs to which entry?
Answer: Pr2NiHPt6



Question: VASP energy of number 1 (Pr2NiH)?
Answer: -4.831 eV per atom